The following is a PBE-GGA calculation of a relaxed structure of Tl4Se2I, from Alexandria.

Cell and atoms, written as POSCAR:
```
Tl4Se2I
1.0
7.668 0.000 4.420
2.375 7.775 4.742
-0.310 0.343 9.400
Tl Se I
8 4 2
direct
0.215 0.253 0.317 Tl
0.785 0.183 0.247 Tl
0.215 0.817 0.753 Tl
0.785 0.747 0.683 Tl
0.747 0.759 0.259 Tl
0.764 0.241 0.741 Tl
0.236 0.759 0.259 Tl
0.253 0.241 0.741 Tl
0.000 0.000 0.000 Se
0.000 0.000 0.500 Se
0.000 0.500 0.500 Se
0.500 0.000 0.500 Se
0.500 0.500 0.000 I
0.000 0.500 0.000 I
```

Results
Fermi-level density of states in states/eV/f.u.: 2.469
Polymorph energy (0 for the lowest one) in eV per formula unit: 0.14
Total moment in μB/f.u.: 0.00
Energy relative to the elements, uncorrected in eV/atom: -0.37
V in Å³/cell: 562.20
Energy in eV per cell: -41.2

***

The following is a PBE-GGA calculation of a relaxed structure of Zr2ScCo, from Alexandria.

Cell and atoms, written as POSCAR:
```
Zr2ScCo
1.0
5.673 -0.010 0.005
4.694 3.186 0.005
2.097 0.642 4.362
Sc Co Zr
1 1 2
direct
0.250 0.250 0.250 Sc
0.750 0.750 0.750 Co
0.042 0.042 0.958 Zr
0.458 0.458 0.542 Zr
```

Results
Fermi-level density of states in states/eV/f.u.: 3.258
Polymorph energy (0 for the lowest one) in eV per formula unit: 0.22
Total moment in μB/f.u.: 0.00
V in Å³/cell: 78.99
Energy of formation from the pure elements in meV/atom: -141
Energy in eV per cell: -31.1

***

The following is a PBE-GGA calculation of a relaxed structure of Al2Pd12Au5, from Alexandria.

Cell and atoms, written as POSCAR:
```
Al2Pd12Au5
1.0
5.046 0.105 0.692
0.702 7.540 2.906
0.146 -0.041 8.110
Al Pd Au
2 12 5
direct
0.000 0.747 0.253 Al
0.000 0.253 0.747 Al
0.995 0.104 0.104 Pd
0.208 0.061 0.556 Pd
0.208 0.556 0.061 Pd
0.642 0.159 0.645 Pd
0.642 0.645 0.159 Pd
0.721 0.550 0.550 Pd
0.279 0.450 0.450 Pd
0.358 0.841 0.355 Pd
0.358 0.355 0.841 Pd
0.792 0.939 0.444 Pd
0.792 0.444 0.939 Pd
0.005 0.896 0.896 Pd
0.891 0.322 0.322 Au
0.454 0.217 0.217 Au
0.500 0.000 0.000 Au
0.546 0.783 0.783 Au
0.109 0.678 0.678 Au
```

Results
Fermi-level density of states in states/eV/f.u.: 8.220
Polymorph energy (0 for the lowest one) in eV per formula unit: 0.00
Total moment in μB/f.u.: 0.00
V in Å³/cell: 307.83
Energy of formation from the pure elements in meV/atom: -243
Energy in eV per cell: -90.8

***

The following is a PBE-GGA calculation of a relaxed structure of NiAsSe, from Alexandria.

Cell and atoms, written as POSCAR:
```
NiAsSe
1.0
4.218 0.000 0.000
2.109 3.653 0.000
2.109 1.218 3.444
As Ni Se
1 1 1
direct
0.500 0.500 0.500 As
0.750 0.750 0.750 Ni
0.000 0.000 0.000 Se
```

Results
Fermi-level density of states in states/eV/f.u.: 1.237
Total moment in μB/f.u.: 0.00
Energy relative to the elements, uncorrected in eV/atom: -0.06
V in Å³/cell: 53.06
Energy in eV per cell: -14.1

***

The following is a PBE-GGA calculation of a relaxed structure of Y3HoNi2, from Alexandria.

Cell and atoms, written as POSCAR:
```
Y3HoNi2
1.0
3.796 0.000 0.765
1.598 7.945 1.869
-0.019 0.028 9.894
Y Ho Ni
6 2 4
direct
0.155 0.936 0.754 Y
0.845 0.064 0.246 Y
0.419 0.223 0.939 Y
0.581 0.777 0.061 Y
0.581 0.278 0.559 Y
0.419 0.722 0.441 Y
0.844 0.564 0.748 Ho
0.156 0.436 0.252 Ho
0.232 0.585 0.950 Ni
0.768 0.415 0.050 Ni
0.768 0.914 0.549 Ni
0.232 0.086 0.451 Ni
```

Results
Fermi-level density of states in states/eV/f.u.: 7.001
Total moment in μB/f.u.: 0.00
V in Å³/cell: 298.35
Energy of formation from the pure elements in meV/atom: -290
Energy in eV per cell: -74.6

***

The following is a PBE-GGA calculation of a relaxed structure of CuAg2Sn2, from Alexandria.

Cell and atoms, written as POSCAR:
```
CuAg2Sn2
1.0
7.045 0.000 0.000
0.000 7.045 0.000
0.000 0.000 4.278
Cu Sn Ag
2 4 4
direct
0.000 0.000 0.000 Cu
0.500 0.500 0.000 Cu
0.167 0.667 0.500 Sn
0.667 0.833 0.500 Sn
0.833 0.333 0.500 Sn
0.333 0.167 0.500 Sn
0.356 0.856 0.000 Ag
0.856 0.644 0.000 Ag
0.644 0.144 0.000 Ag
0.144 0.356 0.000 Ag
```

Results
Fermi-level density of states in states/eV/f.u.: 1.968
Polymorph energy (0 for the lowest one) in eV per formula unit: 0.10
Total moment in μB/f.u.: 0.00
V in Å³/cell: 212.30
Energy of formation from the pure elements in meV/atom: 192
Energy in eV per cell: -33.7